Compound: Sm7Dy2Er
Source: Alexandria
Functional: PBE
Structure: optimized geometry

Lattice parameters (Å, degrees): 9.480 9.480 5.481 90.00 90.00 125.03
Fractional coordinates of all 10 atoms:
Sm  0.000  0.000  0.000
Sm  0.211  0.432  0.000
Sm  0.293  0.707  0.500
Sm  0.432  0.211  0.000
Sm  0.568  0.789  0.000
Sm  0.707  0.293  0.500
Sm  0.789  0.568  0.000
Dy  0.205  0.795  0.000
Dy  0.795  0.205  0.000
Er  0.500  0.500  0.500

Output
The value obtained for the calculated formation energy is 15.2 kcal/mol of atoms. The density of states at the Fermi level is 14.31 states/eV/cell. As for the crystal system: orthorhombic. As for the energy above the most stable polymorph in this dataset: 6.43 eV per formula unit.